Record 1
Computed, not measured: FeReNO2 after structural relaxation at the PBE with a Hubbard U level of DFT.

DFT total energy in eV per atom: -6.5487
Total magnetic moment in μB/atom: 1.5769
D(E_F) in states/eV per cell: 2.87

CIF file:
```
data_FeReNO2
_chemical_formula_sum 'Fe1 Re1 N1 O2'
_cell_length_a 3.679
_cell_length_b 3.679
_cell_length_c 4.149
_cell_angle_alpha 90.00
_cell_angle_beta 90.00
_cell_angle_gamma 90.00
_space_group_name_H-M_alt 'P 1'
_space_group_IT_number 1
loop_
_space_group_symop_operation_xyz
'x,y,z'
loop_
_atom_site_label
_atom_site_fract_x
_atom_site_fract_y
_atom_site_fract_z
Fe1 0.000 0.000 0.000
Re1 0.500 0.500 0.500
N1 0.000 0.000 0.500
O1 0.000 0.500 0.000
O2 0.500 0.000 0.000
```

Record 2
Computed, not measured: FeReNO2 after structural relaxation at the PBE with a Hubbard U level of DFT.

DFT total energy in eV per atom: -7.6792
Total magnetic moment in μB/atom: 0.7397
D(E_F) in states/eV per cell: 2.35

CIF file:
```
data_FeReNO2
_chemical_formula_sum 'Fe1 Re1 N1 O2'
_cell_length_a 3.874
_cell_length_b 3.874
_cell_length_c 3.937
_cell_angle_alpha 90.00
_cell_angle_beta 90.00
_cell_angle_gamma 90.00
_space_group_name_H-M_alt 'P 1'
_space_group_IT_number 1
loop_
_space_group_symop_operation_xyz
'x,y,z'
loop_
_atom_site_label
_atom_site_fract_x
_atom_site_fract_y
_atom_site_fract_z
Fe1 0.000 0.000 0.000
Re1 0.500 0.500 0.500
N1 0.500 0.500 0.000
O1 0.000 0.500 0.500
O2 0.500 0.000 0.500
```